(1)
5
Lattice="4.747 0.000 0.000 0.000 5.427 0.000 0.000 0.000 4.747" Properties=species:S:1:pos:R:3 comment="RbCrNi2Bi (PBE-GGA, relaxed)" formation_enthalpy_0k_ev_per_atom=1.30 energy_ry_per_atom=-0.287 magnetic_moment_mub_per_fu=3.88 n_ef_per_ev_fu=9.2 spacegroup=P4/mmm pbc="T T T"
Rb 0.000 2.713 0.000
Cr 0.000 0.000 0.000
Bi 2.373 2.713 2.373
Ni 0.000 0.000 2.373
Ni 2.373 0.000 0.000

(2)
11
Lattice="5.746 -0.004 0.731 -2.843 4.993 0.731 -0.120 -0.206 8.299" Properties=species:S:1:pos:R:3 comment="Cr2NiBi2S6 (PBE-GGA, relaxed)" energy_ry_per_atom=-0.414 magnetic_moment_mub_per_fu=4.20 n_ef_per_ev_fu=5.6 formation_energy_uncorrected_kj_per_mol_atoms=-39.04 spacegroup=C2/m pbc="T T T"
S -1.153 4.591 6.307
S 1.036 1.780 3.267
Ni -0.060 -0.103 4.150
S -1.779 3.516 3.455
S 3.935 0.192 3.455
Bi 4.311 0.831 0.731
S 4.561 1.267 6.307
S 1.747 3.003 6.495
Cr 0.120 3.131 4.881
Cr 2.663 1.652 4.881
Bi -1.408 4.158 0.731